[1]
Computed, not measured: Sr2ErMg after structural relaxation at the GGA-PBE level of DFT.

Cell lengths 4.3400, 4.3400, 8.1049 Å; angles 90.00, 90.00, 90.00 degrees
With the nearest neighbours (Å) after each atom.
Positions (direct):
Sr1 0.0000 0.0000 0.2405  4 Mg 3.64, 4 Er 3.72, 1 Sr 3.90
Sr2 0.0000 0.0000 0.7595  4 Mg 3.64, 4 Er 3.72, 1 Sr 3.90
Mg1 0.5000 0.5000 0.0000  8 Sr 3.64, 2 Er 4.05
Er1 0.5000 0.5000 0.5000  8 Sr 3.72, 2 Mg 4.05

Calculated values
ΔE_f = 0.1587 eV/atom
N(E_F) = 4.6 states/eV per cell
total magnetic moment = 0.00 μB/atom

[2]
Computed, not measured: K3CeNd3S8 after structural relaxation at the GGA-PBE level of DFT.

Cell lengths 8.3404, 8.3412, 8.8870 Å; angles 118.01, 90.00, 120.00 degrees
With the nearest neighbours (Å) after each atom.
Positions (direct):
K1 0.5000 0.5000 0.0000  6 S 3.26-3.27
K2 0.0000 0.5000 0.0000  6 S 3.26-3.27
K3 0.0000 0.0000 0.0000  6 S 3.26-3.27
S1 0.2267 0.4535 0.6974  1 Ce 2.75, 2 Nd 2.86
S2 0.2645 0.5290 0.2935  3 Nd 2.86
S3 0.2560 0.0292 0.3026  1 Ce 2.75, 2 Nd 2.86
S4 0.2267 0.9708 0.6974  1 Ce 2.75, 2 Nd 2.86
S5 0.7733 0.5465 0.3026  1 Ce 2.75, 2 Nd 2.86
S6 0.7355 0.4710 0.7065  3 Nd 2.86
S7 0.7440 0.9708 0.6974  1 Ce 2.75, 2 Nd 2.86
S8 0.7733 0.0292 0.3026  1 Ce 2.75, 2 Nd 2.86
Nd1 0.0000 0.5000 0.5000  6 S 2.86
Nd2 0.5000 0.0000 0.5000  6 S 2.86
Nd3 0.5000 0.5000 0.5000  6 S 2.86
Ce1 0.0000 0.0000 0.5000  6 S 2.75

Calculated values
raw formation energy = -1835 meV/atom
total magnetic moment = 0.00 μB/atom

[3]
Computed, not measured: ZnC3 after structural relaxation at the GGA-PBE level of DFT.

Cell lengths 8.0327, 8.0327, 2.4541 Å; angles 90.00, 90.00, 142.31 degrees
With the nearest neighbours (Å) after each atom.
Positions (direct):
C1 0.2724 0.9951 0.7500  1 C 1.39
C2 0.1978 0.8022 0.2500  4 C 1.67
C3 0.7276 0.0049 0.2500  1 C 1.39
C4 0.0049 0.7276 0.7500  1 C 1.39
C5 0.8022 0.1978 0.7500  4 C 1.67
C6 0.9951 0.2724 0.2500  1 C 1.39
Zn1 0.6680 0.3320 0.2500  6 C 2.31-2.38, 2 Zn 2.45
Zn2 0.3320 0.6680 0.7500  6 C 2.31-2.38, 2 Zn 2.45

Calculated values
ΔE_f = 1.7689 eV/atom
total magnetic moment = 0.00 μB/atom

[4]
Computed, not measured: AcLaNiIr after structural relaxation at the GGA-PBE level of DFT.

Cell lengths 4.0768, 4.2644, 6.0662 Å; angles 90.00, 109.64, 90.00 degrees
With the nearest neighbours (Å) after each atom.
Positions (direct):
Ac1 0.1397 0.0000 0.2793  4 Ni 3.04, 3 Ir 3.19-3.24
Ni1 0.5743 0.5000 0.1486  2 Ir 2.77, 4 Ac 3.04
Ir1 0.4191 0.0000 0.8382  2 Ni 2.77, 4 La 3.01
La1 0.8669 0.5000 0.7338  4 Ir 3.01, 3 Ni 3.13-3.34

Calculated values
ΔE_f = -0.5055 eV/atom
N(E_F) = 2.3 states/eV per cell
total magnetic moment = 0.00 μB/atom

[5]
Computed, not measured: Mg4Se3 after structural relaxation at the GGA-PBE level of DFT.

Cell lengths 5.6477, 5.6477, 5.8156 Å; angles 90.00, 90.00, 120.00 degrees
With the nearest neighbours (Å) after each atom.
Positions (direct):
Se1 0.0000 0.5000 0.0000  4 Se 2.82
Se2 0.5000 0.0000 0.0000  4 Se 2.82
Se3 0.5000 0.5000 0.0000  4 Se 2.82
Mg1 0.0000 0.0000 0.2567  2 Mg 2.83-2.99
Mg2 0.3333 0.6667 0.5000  9 Mg 3.26-3.55, 6 Se 3.33
Mg3 0.6667 0.3333 0.5000  9 Mg 3.26-3.55, 6 Se 3.33
Mg4 0.0000 0.0000 0.7433  2 Mg 2.83-2.99

Calculated values
raw formation energy = -66 meV/atom
N(E_F) = 2.7 states/eV per cell
total magnetic moment = 0.00 μB/atom

[6]
Computed, not measured: Tl4InPb6 after structural relaxation at the GGA-PBE level of DFT.

Cell lengths 9.8450, 9.8450, 9.8450 Å; angles 55.18, 141.77, 141.77 degrees
With the nearest neighbours (Å) after each atom.
Positions (direct):
Pb1 0.5000 0.5000 0.0000  4 Pb 3.20, 2 In 3.22
Pb2 0.6328 0.1927 0.1927  3 Pb 3.20-3.35, 5 Tl 3.35-3.53
Pb3 0.5000 0.0000 0.5000  4 Pb 3.20, 2 In 3.22
Pb4 0.0000 0.4401 0.8073  3 Pb 3.20-3.35, 5 Tl 3.35-3.53
Pb5 0.0000 0.8073 0.4401  3 Pb 3.20-3.35, 5 Tl 3.35-3.53
Pb6 0.3672 0.5599 0.5599  3 Pb 3.20-3.35, 5 Tl 3.35-3.53
In1 0.0000 0.0000 0.0000  8 Pb 3.22-3.60
Tl1 0.0000 0.6245 0.0071  5 Pb 3.35-3.53, 1 Tl 3.49, 1 In 3.66
Tl2 0.0000 0.0071 0.6245  5 Pb 3.35-3.53, 1 Tl 3.49, 1 In 3.66
Tl3 0.3827 0.3755 0.3755  5 Pb 3.35-3.53, 1 Tl 3.49, 1 In 3.66
Tl4 0.6173 0.9929 0.9929  5 Pb 3.35-3.53, 1 Tl 3.49, 1 In 3.66

Calculated values
ΔE_f = 0.0763 eV/atom
N(E_F) = 6.5 states/eV per cell
total magnetic moment = 0.00 μB/atom